Entry 1:
Density functional theory data (PBE) for a relaxed structure of Tb2Ho2In.

a b c (Å): 8.1506 8.1506 4.5776
angles (deg): 90.00 90.00 90.00
Last column: nearest neighbours and their distance in Å.
Element x y z (fractional)
In  0.5000  0.5000  0.0000  4 Ho 3.11
In  0.0000  0.0000  0.0000  4 Ho 3.11
Tb  0.6526  0.8474  0.5000  6 Ho 3.24-3.35, 1 Tb 3.52
Tb  0.1526  0.6526  0.5000  6 Ho 3.24-3.35, 1 Tb 3.52
Tb  0.3474  0.1526  0.5000  6 Ho 3.24-3.35, 1 Tb 3.52
Tb  0.8474  0.3474  0.5000  6 Ho 3.24-3.35, 1 Tb 3.52
Ho  0.6482  0.1482  0.0000  2 In 3.11, 6 Tb 3.24-3.35, 1 Ho 3.42
Ho  0.8518  0.6482  0.0000  2 In 3.11, 6 Tb 3.24-3.35, 1 Ho 3.42
Ho  0.3518  0.8518  0.0000  2 In 3.11, 6 Tb 3.24-3.35, 1 Ho 3.42
Ho  0.1482  0.3518  0.0000  2 In 3.11, 6 Tb 3.24-3.35, 1 Ho 3.42

Computed properties:
SG: P4/mbm, No. 127
Uncorrected energy: -4.2285 eV per atom
Magnetic moment: 0.00 μB/f.u.

Entry 2:
Density functional theory data (PBE) for a relaxed structure of TbHoInTe3.

a b c (Å): 7.9036 7.9036 12.0232
angles (deg): 90.00 90.00 148.26
Last column: nearest neighbours and their distance in Å.
Element x y z (fractional)
Ho  0.5000  0.5000  0.0000  6 Te 3.09-3.12
Ho  0.5000  0.5000  0.5000  6 Te 3.09-3.12
Te  0.8548  0.1452  0.4838  1 Tb 2.96, 2 Ho 3.09
Te  0.1452  0.8548  0.5162  1 Tb 2.96, 2 Ho 3.09
Te  0.4444  0.5556  0.7500  2 Tb 3.04, 2 Ho 3.12
Te  0.5556  0.4444  0.2500  2 Tb 3.04, 2 Ho 3.12
Te  0.8548  0.1452  0.0162  1 Tb 2.96, 2 Ho 3.09
Te  0.1452  0.8548  0.9838  1 Tb 2.96, 2 Ho 3.09
Tb  0.0849  0.9151  0.7500  4 Te 2.96-3.04
Tb  0.9151  0.0849  0.2500  4 Te 2.96-3.04
In  0.7616  0.2384  0.7500  2 Tb 3.45, 4 Te 3.50-3.52
In  0.2384  0.7616  0.2500  2 Tb 3.45, 4 Te 3.50-3.52

Computed properties:
SG: Cmcm, No. 63
Uncorrected energy: -4.4882 eV per atom
Magnetic moment: 0.32 μB/f.u.

Entry 3:
Density functional theory data (PBE) for a relaxed structure of TbHoInTe3.

a b c (Å): 7.8812 7.8812 12.0411
angles (deg): 90.00 90.00 148.01
Last column: nearest neighbours and their distance in Å.
Element x y z (fractional)
Ho  0.4216  0.5784  0.7500  4 Te 2.93-3.02
Ho  0.5784  0.4216  0.2500  4 Te 2.93-3.02
In  0.7434  0.2566  0.7500  2 Ho 3.47, 8 Te 3.53-3.88
In  0.2566  0.7434  0.2500  2 Ho 3.47, 8 Te 3.53-3.88
Te  0.6466  0.3534  0.0222  1 Ho 2.93, 2 Tb 3.12
Te  0.9400  0.0600  0.2500  2 Ho 3.02, 2 Tb 3.14
Te  0.3534  0.6466  0.5222  1 Ho 2.93, 2 Tb 3.12
Te  0.6466  0.3534  0.4778  1 Ho 2.93, 2 Tb 3.12
Te  0.0600  0.9400  0.7500  2 Ho 3.02, 2 Tb 3.14
Te  0.3534  0.6466  0.9778  1 Ho 2.93, 2 Tb 3.12
Tb  0.0000  0.0000  0.0000  6 Te 3.12-3.14
Tb  0.0000  0.0000  0.5000  6 Te 3.12-3.14

Computed properties:
SG: Cmcm, No. 63
Uncorrected energy: -4.4908 eV per atom
Magnetic moment: 0.12 μB/f.u.